1.
Density functional theory data (SCAN) for a crystal of IrOs2Ru relaxed with PBEsol.

Cell lengths 2.685, 2.685, 7.663 Å; angles 90.00, 90.00, 90.00 degrees
Atoms (fractional coordinates):
Os (0.000, 0.000, 0.753)
Os (0.000, 0.000, 0.247)
Ir (0.500, 0.500, 0.500)
Ru (0.500, 0.500, 0.000)

## Properties
D(E_F) ... 2.62 states/eV per cell
DFT total energy ... -249.39 eV/cell
Energy of formation ... 7.13 kJ/mol of atoms



2.
Density functional theory data (SCAN) for a crystal of IrOs2Ru relaxed with PBEsol.

Cell lengths 3.264, 3.264, 5.378 Å; angles 90.00, 90.00, 90.00 degrees
Site moments in Bohr magnetons follow the coordinates.
Atoms (fractional coordinates):
Os (0.000, 0.000, 0.250)  0.65
Os (0.000, 0.000, 0.750)  0.65
Ru (0.500, 0.500, 0.000)  0.82
Ir (0.500, 0.500, 0.500)  0.13

## Properties
D(E_F) ... 3.80 states/eV per cell
DFT total energy ... -247.43 eV/cell
Energy of formation ... 54.46 kJ/mol of atoms



3.
Density functional theory data (SCAN) for a crystal of IrOsRu relaxed with PBEsol.

Cell lengths 2.691, 2.691, 6.603 Å; angles 90.00, 90.00, 120.00 degrees
Atoms (fractional coordinates):
Os (0.333, 0.667, 0.661)
Ir (0.000, 0.000, 0.000)
Ru (0.667, 0.333, 0.338)

## Properties
D(E_F) ... 2.44 states/eV per cell
DFT total energy ... -177.71 eV/cell
Energy of formation ... 3.15 kJ/mol of atoms



4.
Density functional theory data (SCAN) for a crystal of IrOs2Ru relaxed with PBEsol.

Cell lengths 3.818, 3.818, 4.655 Å; angles 114.21, 114.21, 90.00 degrees
Atoms (fractional coordinates):
Ru (0.500, 0.500, 0.000)
Os (0.750, 0.250, 0.500)
Os (0.000, 0.000, 0.000)
Ir (0.250, 0.750, 0.500)

## Properties
D(E_F) ... 3.69 states/eV per cell
DFT total energy ... -249.46 eV/cell
Energy of formation ... 5.41 kJ/mol of atoms



5.
Density functional theory data (SCAN) for a crystal of Ir3OsRu relaxed with PBEsol.

Cell lengths 4.536, 4.536, 4.536 Å; angles 90.00, 90.00, 90.00 degrees
Site moments in Bohr magnetons follow the coordinates.
Atoms (fractional coordinates):
Os (0.500, 0.500, 0.500)  1.40
Ir (0.500, 0.000, 0.000)  0.07
Ir (0.000, 0.000, 0.500)  0.07
Ir (0.000, 0.500, 0.000)  0.07
Ru (0.000, 0.000, 0.000)  -0.02

## Properties
D(E_F) ... 5.69 states/eV per cell
DFT total energy ... -306.95 eV/cell
Energy of formation ... 251.88 kJ/mol of atoms



6.
Density functional theory data (SCAN) for a crystal of IrOs2Ru relaxed with PBEsol.

Cell lengths 2.695, 2.695, 8.933 Å; angles 81.32, 81.32, 60.00 degrees
Atoms (fractional coordinates):
Ru (0.499, 0.499, 0.502)
Os (0.001, 0.001, 0.998)
Os (0.750, 0.750, 0.749)
Ir (0.250, 0.250, 0.251)

## Properties
D(E_F) ... 3.51 states/eV per cell
DFT total energy ... -249.40 eV/cell
Energy of formation ... 6.88 kJ/mol of atoms



7.
Density functional theory data (SCAN) for a crystal of IrOs2Ru relaxed with PBEsol.

Cell lengths 2.690, 4.664, 4.671 Å; angles 99.52, 90.00, 106.76 degrees
Atoms (fractional coordinates):
Os (0.750, 0.499, 0.251)
Os (0.001, 0.002, 0.003)
Ru (0.498, 0.997, 0.496)
Ir (0.251, 0.502, 0.750)

## Properties
D(E_F) ... 2.90 states/eV per cell
DFT total energy ... -249.45 eV/cell
Energy of formation ... 5.59 kJ/mol of atoms



8.
Density functional theory data (SCAN) for a crystal of IrOs2Ru relaxed with PBEsol.

Cell lengths 2.689, 3.819, 5.381 Å; angles 90.00, 90.00, 90.00 degrees
Atoms (fractional coordinates):
Ir (0.500, 0.500, 0.500)
Ru (0.500, 0.500, 0.000)
Os (0.000, 0.000, 0.246)
Os (0.000, 0.000, 0.754)

## Properties
D(E_F) ... 2.49 states/eV per cell
DFT total energy ... -249.43 eV/cell
Energy of formation ... 6.04 kJ/mol of atoms



9.
Density functional theory data (SCAN) for a crystal of IrOs2Ru relaxed with PBEsol.

Cell lengths 2.691, 3.811, 5.389 Å; angles 90.00, 90.00, 90.00 degrees
Atoms (fractional coordinates):
Ru (0.000, 0.000, 0.497)
Os (0.000, 0.000, 0.003)
Os (0.500, 0.500, 0.251)
Ir (0.500, 0.500, 0.749)

## Properties
D(E_F) ... 2.92 states/eV per cell
DFT total energy ... -249.48 eV/cell
Energy of formation ... 5.05 kJ/mol of atoms



10.
Density functional theory data (SCAN) for a crystal of IrOs2Ru relaxed with PBEsol.

Cell lengths 2.686, 4.675, 4.675 Å; angles 109.76, 90.00, 90.00 degrees
Atoms (fractional coordinates):
Os (0.000, 0.000, 0.500)
Os (0.000, 0.500, 0.000)
Ir (0.500, 0.500, 0.500)
Ru (0.500, 0.000, 0.000)

## Properties
D(E_F) ... 2.86 states/eV per cell
DFT total energy ... -249.43 eV/cell
Energy of formation ... 6.10 kJ/mol of atoms



11.
Density functional theory data (SCAN) for a crystal of SbIrOs4 relaxed with PBEsol.

Cell lengths 5.153, 5.153, 5.153 Å; angles 60.00, 60.00, 60.00 degrees
Atoms (fractional coordinates):
Os (0.374, 0.374, 0.879)
Os (0.879, 0.374, 0.374)
Os (0.374, 0.374, 0.374)
Os (0.374, 0.879, 0.374)
Sb (0.750, 0.750, 0.750)
Ir (0.000, 0.000, 0.000)

## Properties
D(E_F) ... 8.33 states/eV per cell
Formation energy (no corrections) ... 1.1914 eV per atom
DFT total energy ... -388.73 eV/cell



12.
Density functional theory data (SCAN) for a crystal of SbIr3Os relaxed with PBEsol.

Cell lengths 4.708, 4.708, 4.708 Å; angles 90.00, 90.00, 90.00 degrees
Site moments in Bohr magnetons follow the coordinates.
Atoms (fractional coordinates):
Ir (0.500, 0.000, 0.000)  0.62
Ir (0.000, 0.000, 0.500)  0.62
Ir (0.000, 0.500, 0.000)  0.62
Os (0.500, 0.500, 0.500)  2.68
Sb (0.000, 0.000, 0.000)  0.01

## Properties
D(E_F) ... 8.66 states/eV per cell
Formation energy (no corrections) ... 2.6780 eV per atom
DFT total energy ... -309.05 eV/cell



13.
Density functional theory data (SCAN) for a crystal of SbIrOs relaxed with PBEsol.

Cell lengths 2.829, 2.881, 7.297 Å; angles 84.54, 78.82, 60.60 degrees
Atoms (fractional coordinates):
Ir (0.008, 0.000, 0.983)
Sb (0.332, 0.000, 0.335)
Os (0.659, 0.000, 0.681)

## Properties
D(E_F) ... 3.51 states/eV per cell
Formation energy (no corrections) ... 0.9744 eV per atom
DFT total energy ... -177.32 eV/cell



14.
Density functional theory data (SCAN) for a crystal of SbIr2Os relaxed with PBEsol.

Cell lengths 4.459, 4.459, 4.459 Å; angles 60.00, 60.00, 60.00 degrees
Site moments in Bohr magnetons follow the coordinates.
Atoms (fractional coordinates):
Os (0.500, 0.500, 0.500)  0.99
Ir (0.000, 0.000, 0.000)  0.63
Ir (0.750, 0.750, 0.750)  0.37
Sb (0.250, 0.250, 0.250)  0.03

## Properties
D(E_F) ... 3.16 states/eV per cell
Formation energy (no corrections) ... 0.6660 eV per atom
DFT total energy ... -248.67 eV/cell



15.
Density functional theory data (SCAN) for a crystal of TiSbIrOs2 relaxed with PBEsol.

Cell lengths 4.669, 4.669, 4.927 Å; angles 90.00, 90.00, 90.00 degrees
Site moments in Bohr magnetons follow the coordinates.
Atoms (fractional coordinates):
Ir (0.000, 0.000, 0.000)  0.03
Sb (0.000, 0.000, 0.500)  -0.06
Os (0.000, 0.500, 0.000)  -0.18
Os (0.500, 0.000, 0.000)  -0.18
Ti (0.500, 0.500, 0.500)  1.21

## Properties
D(E_F) ... 6.36 states/eV per cell
Formation energy (no corrections) ... 1.7133 eV per atom
DFT total energy ... -259.58 eV/cell



16.
Density functional theory data (SCAN) for a crystal of Ir2OsSe relaxed with PBEsol.

Cell lengths 2.797, 4.707, 4.849 Å; angles 103.46, 90.00, 107.29 degrees
Atoms (fractional coordinates):
Ir (0.003, 0.005, 0.006)
Ir (0.241, 0.482, 0.742)
Se (0.768, 0.535, 0.224)
Os (0.489, 0.978, 0.529)

## Properties
D(E_F) ... 2.16 states/eV per cell
Formation energy (no corrections) ... 0.5447 eV per atom
DFT total energy ... -231.98 eV/cell



17.
Density functional theory data (SCAN) for a crystal of IrOs2Se relaxed with PBEsol.

Cell lengths 2.855, 4.005, 5.269 Å; angles 90.00, 104.71, 90.00 degrees
Atoms (fractional coordinates):
Se (0.500, 0.500, 0.000)
Ir (0.500, 0.500, 0.500)
Os (0.871, 0.000, 0.246)
Os (0.129, 0.000, 0.754)

## Properties
D(E_F) ... 2.69 states/eV per cell
Formation energy (no corrections) ... 0.6830 eV per atom
DFT total energy ... -232.21 eV/cell



18.
Density functional theory data (SCAN) for a crystal of Ir2OsSe relaxed with PBEsol.

Cell lengths 2.788, 4.715, 4.715 Å; angles 109.45, 90.00, 90.00 degrees
Atoms (fractional coordinates):
Os (0.500, 0.000, 0.000)
Ir (0.000, 0.500, 0.000)
Ir (0.000, 0.000, 0.500)
Se (0.500, 0.500, 0.500)

## Properties
D(E_F) ... 2.69 states/eV per cell
Formation energy (no corrections) ... 0.5768 eV per atom
DFT total energy ... -231.85 eV/cell



19.
Density functional theory data (SCAN) for a crystal of Ir2OsSe relaxed with PBEsol.

Cell lengths 2.800, 4.763, 4.725 Å; angles 103.41, 90.00, 107.10 degrees
Atoms (fractional coordinates):
Ir (0.245, 0.490, 0.258)
Ir (0.755, 0.510, 0.742)
Se (0.500, 0.000, 0.000)
Os (0.000, 0.000, 0.500)

## Properties
D(E_F) ... 2.42 states/eV per cell
Formation energy (no corrections) ... 0.5778 eV per atom
DFT total energy ... -231.85 eV/cell



20.
Density functional theory data (SCAN) for a crystal of IrOs2Se relaxed with PBEsol.

Cell lengths 4.385, 4.385, 4.385 Å; angles 60.00, 60.00, 60.00 degrees
Site moments in Bohr magnetons follow the coordinates.
Atoms (fractional coordinates):
Se (0.250, 0.250, 0.250)  0.14
Ir (0.500, 0.500, 0.500)  0.85
Os (0.000, 0.000, 0.000)  0.89
Os (0.750, 0.750, 0.750)  0.69

## Properties
D(E_F) ... 3.85 states/eV per cell
Formation energy (no corrections) ... 1.0405 eV per atom
DFT total energy ... -230.78 eV/cell